A plane-wave DFT calculation with PBE-GGA was carried out for a relaxed Al2Cr2Os crystal.

Summary:
For the volume, the calculation gives 68.0 Å³/f.u. Its total magnetization is 7.3 μB/cell. Its space group is No. 127. Its raw total energy is -7.447 eV per atom. As for the formation energy: 0.1455 eV/atom.

a = 6.726 Å, b = 6.726 Å, c = 3.007 Å
α = 90.00°, β = 90.00°, γ = 90.00°
Site moments in Bohr magnetons follow the coordinates.
Sites, in units of the cell vectors:
Cr 0.166 0.666 0.500  1.87
Cr 0.666 0.834 0.500  1.84
Cr 0.834 0.334 0.500  1.87
Cr 0.334 0.166 0.500  1.84
Os 0.000 0.000 0.000  -0.07
Os 0.500 0.500 0.000  -0.07
Al 0.366 0.866 0.000  -0.04
Al 0.866 0.634 0.000  -0.04
Al 0.634 0.134 0.000  -0.04
Al 0.134 0.366 0.000  -0.04